No. 1
CaSnPt2: optimized geometry, PBE.

The calculation puts the density of states at the Fermi level at 0.930 states/eV per atom. The calculation puts the formation energy at -0.446 eV/atom.

```
data_CaSnPt2
_symmetry_space_group_name_H-M 'P m m a'
_symmetry_Int_Tables_number 51
_cell_length_a 5.5465
_cell_length_b 5.5812
_cell_length_c 12.9794
_cell_angle_alpha 90.00
_cell_angle_beta 90.00
_cell_angle_gamma 90.00
loop_
_symmetry_equiv_pos_as_xyz
'x,y,z'
'-x,-y,-z'
'-x+1/2,-y,z'
'x+1/2,y,-z'
'x+1/2,-y,-z'
'-x+1/2,y,z'
'-x,y,-z'
'x,-y,z'
loop_
_atom_site_label
_atom_site_type_symbol
_atom_site_fract_x
_atom_site_fract_y
_atom_site_fract_z
Ca1 Ca 0.2500 0.0000 0.0734
Ca2 Ca 0.2500 0.5000 0.4088
Sn1 Sn 0.2500 0.0000 0.8112
Sn2 Sn 0.2500 0.5000 0.8233
Pt1 Pt 0.0000 0.0000 0.5000
Pt2 Pt 0.0000 0.5000 0.0000
Pt3 Pt 0.2500 0.2586 0.6377
```

=====

No. 2
Ca3SnPt: optimized geometry, PBE.

The calculation puts the density of states at the Fermi level at 0.069 states/eV per atom. The calculation puts the formation energy at 0.083 eV/atom.

```
data_Ca3SnPt
_symmetry_space_group_name_H-M 'P m -3 m'
_symmetry_Int_Tables_number 221
_symmetry_space_group_name_Hall '-P 4 2 3'
_cell_length_a 5.7824
_cell_length_b 5.7824
_cell_length_c 5.7824
_cell_angle_alpha 90.00
_cell_angle_beta 90.00
_cell_angle_gamma 90.00
loop_
_atom_site_label
_atom_site_type_symbol
_atom_site_fract_x
_atom_site_fract_y
_atom_site_fract_z
Ca1 Ca 0.0000 0.0000 0.5000
Sn1 Sn 0.0000 0.0000 0.0000
Pt1 Pt 0.5000 0.5000 0.5000
```

=====

No. 3
Ca3Sn13Pt4: optimized geometry, PBE.

The calculation puts the density of states at the Fermi level at 0.203 states/eV per atom. The calculation puts the formation energy at -0.512 eV/atom.

```
data_Ca3Sn13Pt4
_symmetry_space_group_name_H-M 'P m -3 n'
_symmetry_Int_Tables_number 223
_symmetry_space_group_name_Hall '-P 4n 2 3'
_cell_length_a 9.9071
_cell_length_b 9.9071
_cell_length_c 9.9071
_cell_angle_alpha 90.00
_cell_angle_beta 90.00
_cell_angle_gamma 90.00
loop_
_atom_site_label
_atom_site_type_symbol
_atom_site_fract_x
_atom_site_fract_y
_atom_site_fract_z
Ca1 Ca 0.0000 0.2500 0.5000
Sn1 Sn 0.0000 0.0000 0.0000
Sn2 Sn 0.0000 0.3093 0.1504
Pt1 Pt 0.2500 0.2500 0.2500
```

=====

No. 4
Sr2CaSn3Pt4: optimized geometry, PBE.

The calculation puts the density of states at the Fermi level at 0.426 states/eV per atom. The calculation puts the formation energy at -0.824 eV/atom.

```
data_Sr2CaSn3Pt4
_symmetry_space_group_name_H-M 'P -4 m 2'
_symmetry_Int_Tables_number 115
_cell_length_a 4.6882
_cell_length_b 4.6882
_cell_length_c 11.1356
_cell_angle_alpha 90.00
_cell_angle_beta 90.00
_cell_angle_gamma 90.00
loop_
_symmetry_equiv_pos_as_xyz
'x,y,z'
'y,-x,-z'
'-x,-y,z'
'-y,x,-z'
'-x,y,z'
'-y,-x,-z'
'x,-y,z'
'y,x,-z'
loop_
_atom_site_label
_atom_site_type_symbol
_atom_site_fract_x
_atom_site_fract_y
_atom_site_fract_z
Sr1 Sr 0.0000 0.5000 0.2302
Ca1 Ca 0.0000 0.0000 0.5000
Sn1 Sn 0.0000 0.5000 0.8800
Sn2 Sn 0.5000 0.5000 0.5000
Pt1 Pt 0.0000 0.0000 0.0000
Pt2 Pt 0.0000 0.5000 0.6422
Pt3 Pt 0.5000 0.5000 0.0000
```

=====

No. 5
SrCa2SnPt: optimized geometry, PBE.

The calculation puts the density of states at the Fermi level at 0.435 states/eV per atom. The calculation puts the formation energy at -0.106 eV/atom.

```
data_SrCa2SnPt
_symmetry_space_group_name_H-M 'P 4/m m m'
_symmetry_Int_Tables_number 123
_symmetry_space_group_name_Hall '-P 4 2'
_cell_length_a 5.9548
_cell_length_b 5.9548
_cell_length_c 5.0947
_cell_angle_alpha 90.00
_cell_angle_beta 90.00
_cell_angle_gamma 90.00
loop_
_atom_site_label
_atom_site_type_symbol
_atom_site_fract_x
_atom_site_fract_y
_atom_site_fract_z
Sr1 Sr 0.0000 0.0000 0.0000
Ca1 Ca 0.0000 0.5000 0.5000
Sn1 Sn 0.5000 0.5000 0.5000
Pt1 Pt 0.5000 0.5000 0.0000
```

=====

No. 6
Ca2TbSn3Pt4: optimized geometry, PBE.

The calculation puts the density of states at the Fermi level at 0.448 states/eV per atom. The calculation puts the formation energy at -0.842 eV/atom.

```
data_Ca2TbSn3Pt4
_symmetry_space_group_name_H-M 'P -4 m 2'
_symmetry_Int_Tables_number 115
_cell_length_a 4.6109
_cell_length_b 4.6109
_cell_length_c 11.1532
_cell_angle_alpha 90.00
_cell_angle_beta 90.00
_cell_angle_gamma 90.00
loop_
_symmetry_equiv_pos_as_xyz
'x,y,z'
'y,-x,-z'
'-x,-y,z'
'-y,x,-z'
'-x,y,z'
'-y,-x,-z'
'x,-y,z'
'y,x,-z'
loop_
_atom_site_label
_atom_site_type_symbol
_atom_site_fract_x
_atom_site_fract_y
_atom_site_fract_z
Ca1 Ca 0.0000 0.5000 0.2203
Tb1 Tb 0.0000 0.0000 0.5000
Sn1 Sn 0.0000 0.5000 0.8770
Sn2 Sn 0.5000 0.5000 0.5000
Pt1 Pt 0.0000 0.0000 0.0000
Pt2 Pt 0.0000 0.5000 0.6436
Pt3 Pt 0.5000 0.5000 0.0000
```

=====

No. 7
Ca2TmSn3Pt4: optimized geometry, PBE.

The calculation puts the density of states at the Fermi level at 0.472 states/eV per atom. The calculation puts the formation energy at -0.856 eV/atom.

```
data_Ca2TmSn3Pt4
_symmetry_space_group_name_H-M 'P -4 m 2'
_symmetry_Int_Tables_number 115
_cell_length_a 4.5814
_cell_length_b 4.5814
_cell_length_c 11.1549
_cell_angle_alpha 90.00
_cell_angle_beta 90.00
_cell_angle_gamma 90.00
loop_
_symmetry_equiv_pos_as_xyz
'x,y,z'
'y,-x,-z'
'-x,-y,z'
'-y,x,-z'
'-x,y,z'
'-y,-x,-z'
'x,-y,z'
'y,x,-z'
loop_
_atom_site_label
_atom_site_type_symbol
_atom_site_fract_x
_atom_site_fract_y
_atom_site_fract_z
Ca1 Ca 0.0000 0.5000 0.2232
Tm1 Tm 0.0000 0.0000 0.5000
Sn1 Sn 0.0000 0.5000 0.8752
Sn2 Sn 0.5000 0.5000 0.5000
Pt1 Pt 0.0000 0.0000 0.0000
Pt2 Pt 0.0000 0.5000 0.6410
Pt3 Pt 0.5000 0.5000 0.0000
```

=====

No. 8
CaTmSnPt: optimized geometry, PBE.

The calculation puts the density of states at the Fermi level at 0.639 states/eV per atom. The calculation puts the formation energy at -0.779 eV/atom.

```
data_CaTmSnPt
_symmetry_space_group_name_H-M 'F -4 3 m'
_symmetry_Int_Tables_number 216
_symmetry_space_group_name_Hall 'F -4 2 3'
_cell_length_a 7.2253
_cell_length_b 7.2253
_cell_length_c 7.2253
_cell_angle_alpha 90.00
_cell_angle_beta 90.00
_cell_angle_gamma 90.00
loop_
_atom_site_label
_atom_site_type_symbol
_atom_site_fract_x
_atom_site_fract_y
_atom_site_fract_z
Ca1 Ca 0.0000 0.0000 0.0000
Tm1 Tm 0.0000 0.0000 0.5000
Sn1 Sn 0.2500 0.2500 0.2500
Pt1 Pt 0.2500 0.2500 0.7500
```

=====

No. 9
Ca2YSnPt: optimized geometry, PBE.

The calculation puts the density of states at the Fermi level at 1.025 states/eV per atom. The calculation puts the formation energy at 0.511 eV/atom.

```
data_Ca2YSnPt
_symmetry_space_group_name_H-M 'P 4/m m m'
_symmetry_Int_Tables_number 123
_symmetry_space_group_name_Hall '-P 4 2'
_cell_length_a 6.0841
_cell_length_b 6.0841
_cell_length_c 4.9530
_cell_angle_alpha 90.00
_cell_angle_beta 90.00
_cell_angle_gamma 90.00
loop_
_atom_site_label
_atom_site_type_symbol
_atom_site_fract_x
_atom_site_fract_y
_atom_site_fract_z
Ca1 Ca 0.0000 0.5000 0.0000
Y1 Y 0.0000 0.0000 0.0000
Sn1 Sn 0.5000 0.5000 0.5000
Pt1 Pt 0.0000 0.0000 0.5000
```

=====

No. 10
Ca2Zn3SnPt4: optimized geometry, PBE.

The calculation puts the density of states at the Fermi level at 0.360 states/eV per atom. The calculation puts the formation energy at -0.701 eV/atom.

```
data_Ca2Zn3SnPt4
_symmetry_space_group_name_H-M 'P -4 m 2'
_symmetry_Int_Tables_number 115
_cell_length_a 4.2424
_cell_length_b 4.2424
_cell_length_c 11.0219
_cell_angle_alpha 90.00
_cell_angle_beta 90.00
_cell_angle_gamma 90.00
loop_
_symmetry_equiv_pos_as_xyz
'x,y,z'
'y,-x,-z'
'-x,-y,z'
'-y,x,-z'
'-x,y,z'
'-y,-x,-z'
'x,-y,z'
'y,x,-z'
loop_
_atom_site_label
_atom_site_type_symbol
_atom_site_fract_x
_atom_site_fract_y
_atom_site_fract_z
Ca1 Ca 0.0000 0.5000 0.2291
Zn1 Zn 0.0000 0.5000 0.8706
Zn2 Zn 0.5000 0.5000 0.5000
Sn1 Sn 0.0000 0.0000 0.5000
Pt1 Pt 0.0000 0.0000 0.0000
Pt2 Pt 0.0000 0.5000 0.6450
Pt3 Pt 0.5000 0.5000 0.0000
```

=====

No. 11
Ca2ZnSn4Pt3: optimized geometry, PBE.

The calculation puts the density of states at the Fermi level at 0.389 states/eV per atom. The calculation puts the formation energy at -0.644 eV/atom.

```
data_Ca2ZnSn4Pt3
_symmetry_space_group_name_H-M 'P -4 m 2'
_symmetry_Int_Tables_number 115
_cell_length_a 4.5099
_cell_length_b 4.5099
_cell_length_c 11.2497
_cell_angle_alpha 90.00
_cell_angle_beta 90.00
_cell_angle_gamma 90.00
loop_
_symmetry_equiv_pos_as_xyz
'x,y,z'
'y,-x,-z'
'-x,-y,z'
'-y,x,-z'
'-x,y,z'
'-y,-x,-z'
'x,-y,z'
'y,x,-z'
loop_
_atom_site_label
_atom_site_type_symbol
_atom_site_fract_x
_atom_site_fract_y
_atom_site_fract_z
Ca1 Ca 0.0000 0.5000 0.2432
Zn1 Zn 0.5000 0.5000 0.0000
Sn1 Sn 0.0000 0.0000 0.5000
Sn2 Sn 0.0000 0.5000 0.8653
Sn3 Sn 0.5000 0.5000 0.5000
Pt1 Pt 0.0000 0.0000 0.0000
Pt2 Pt 0.0000 0.5000 0.6321
```

=====

No. 12
SrCa3Pt: optimized geometry, PBE.

The calculation puts the density of states at the Fermi level at 0.567 states/eV per atom. The calculation puts the formation energy at -0.154 eV/atom. Its offset from the most stable computed form is 0.329 eV per atom.

```
data_SrCa3Pt
_symmetry_space_group_name_H-M 'P 4 m m'
_symmetry_Int_Tables_number 99
_cell_length_a 4.5464
_cell_length_b 4.5464
_cell_length_c 10.2390
_cell_angle_alpha 90.00
_cell_angle_beta 90.00
_cell_angle_gamma 90.00
loop_
_symmetry_equiv_pos_as_xyz
'x,y,z'
'-y,x,z'
'-x,-y,z'
'y,-x,z'
'-x,y,z'
'y,x,z'
'x,-y,z'
'-y,-x,z'
loop_
_atom_site_label
_atom_site_type_symbol
_atom_site_fract_x
_atom_site_fract_y
_atom_site_fract_z
Sr1 Sr 0.0000 0.0000 0.0000
Ca1 Ca 0.0000 0.0000 0.6039
Ca2 Ca 0.0000 0.5000 0.3276
Pt1 Pt 0.5000 0.5000 0.5043
```

=====

Repeat the eleventh record exactly.
Ca2ZnSn4Pt3: optimized geometry, PBE.

The calculation puts the density of states at the Fermi level at 0.389 states/eV per atom. The calculation puts the formation energy at -0.644 eV/atom.

```
data_Ca2ZnSn4Pt3
_symmetry_space_group_name_H-M 'P -4 m 2'
_symmetry_Int_Tables_number 115
_cell_length_a 4.5099
_cell_length_b 4.5099
_cell_length_c 11.2497
_cell_angle_alpha 90.00
_cell_angle_beta 90.00
_cell_angle_gamma 90.00
loop_
_symmetry_equiv_pos_as_xyz
'x,y,z'
'y,-x,-z'
'-x,-y,z'
'-y,x,-z'
'-x,y,z'
'-y,-x,-z'
'x,-y,z'
'y,x,-z'
loop_
_atom_site_label
_atom_site_type_symbol
_atom_site_fract_x
_atom_site_fract_y
_atom_site_fract_z
Ca1 Ca 0.0000 0.5000 0.2432
Zn1 Zn 0.5000 0.5000 0.0000
Sn1 Sn 0.0000 0.0000 0.5000
Sn2 Sn 0.0000 0.5000 0.8653
Sn3 Sn 0.5000 0.5000 0.5000
Pt1 Pt 0.0000 0.0000 0.0000
Pt2 Pt 0.0000 0.5000 0.6321
```

=====

- Number 9 is which compound?
  Ca2YSnPt